<i>
An optimized crystal structure of NaMnBr5. Source: Alexandria, functional PBE.

SG	C2/c
total moment	6.3	μB per cell

```
NaMnBr5
1.0
7.2614 -3.5041 0.0000
7.2614 3.5041 0.0000
-3.3421 0.0000 9.1991
Na Mn Br
2 2 10
direct
0.0590 0.9410 0.7500
0.9410 0.0590 0.2500
0.5000 0.5000 0.0000
0.5000 0.5000 0.5000
0.1382 0.6108 0.4836
0.1403 0.6064 0.8877
0.3730 0.6270 0.2500
0.3892 0.8618 0.0164
0.3936 0.8597 0.6123
0.6064 0.1403 0.3877
0.6108 0.1382 0.9836
0.6270 0.3730 0.7500
0.8597 0.3936 0.1123
0.8618 0.3892 0.5164
```



<ii>
An optimized crystal structure of NaMnBr5. Source: Alexandria, functional PBE.

SG	C2/c
total moment	6.1	μB per cell

```
NaMnBr5
1.0
3.6615 -7.0384 0.0000
3.6615 7.0384 0.0000
-1.9046 0.0000 9.1745
Na Mn Br
2 2 10
direct
0.0357 0.9643 0.7500
0.9643 0.0357 0.2500
0.5000 0.5000 0.0000
0.5000 0.5000 0.5000
0.1204 0.2891 0.9927
0.1935 0.4773 0.4032
0.2891 0.1204 0.4927
0.4276 0.5724 0.7500
0.4773 0.1935 0.9032
0.5227 0.8065 0.0968
0.5724 0.4276 0.2500
0.7109 0.8796 0.5073
0.8065 0.5227 0.5968
0.8796 0.7109 0.0073
```



Pick <ii>: it beats the second-best structure by 1.8 kJ/mol of atoms.



<i>
An optimized crystal structure of NaMnBr3. Source: Alexandria, functional PBE.

SG	Pm-3m
total moment	5.0	μB per cell

```
NaMnBr3
1.0
5.3210 0.0000 0.0000
0.0000 5.3210 0.0000
0.0000 0.0000 5.3210
Na Mn Br
1 1 3
direct
0.0000 0.0000 0.0000
0.5000 0.5000 0.5000
0.0000 0.5000 0.5000
0.5000 0.0000 0.5000
0.5000 0.5000 0.0000
```



<ii>
An optimized crystal structure of NaMnBr3. Source: Alexandria, functional PBE.

SG	Ama2
total moment	10.0	μB per cell

```
NaMnBr3
1.0
4.2231 0.0000 0.0000
0.0000 12.0010 3.5127
0.0000 -12.0010 3.5127
Na Mn Br
2 2 6
direct
0.2500 0.1776 0.8224
0.7500 0.8224 0.1776
0.2500 0.3175 0.5627
0.7500 0.5627 0.3175
0.2500 0.0605 0.4919
0.2500 0.3804 0.2282
0.2500 0.6694 0.9083
0.7500 0.2282 0.3804
0.7500 0.4919 0.0605
0.7500 0.9083 0.6694
```



<iii>
An optimized crystal structure of NaMnBr3. Source: Alexandria, functional PBE.

SG	P2_1/m
total moment	10.0	μB per cell

```
NaMnBr3
1.0
7.7390 0.0000 0.0000
0.0000 4.2052 0.0000
-0.0754 0.0000 10.5126
Na Mn Br
2 2 6
direct
0.2486 0.2500 0.4261
0.7514 0.7500 0.5739
0.2543 0.2500 0.8121
0.7457 0.7500 0.1879
0.0035 0.2500 0.6603
0.2540 0.7500 0.9480
0.4987 0.7500 0.3401
0.5013 0.2500 0.6599
0.7460 0.2500 0.0520
0.9965 0.7500 0.3397
```



<iv>
An optimized crystal structure of NaMnBr3. Source: Alexandria, functional PBE.

SG	Pm-3m
total moment	5.0	μB per cell

```
NaMnBr3
1.0
5.3116 0.0000 0.0000
0.0000 5.3116 0.0000
0.0000 0.0000 5.3116
Na Mn Br
1 1 3
direct
0.0000 0.0000 0.0000
0.5000 0.5000 0.5000
0.0000 0.0000 0.5000
0.0000 0.5000 0.0000
0.5000 0.0000 0.0000
```



Pick <ii>: it beats the second-best structure by 1.5 kJ/mol of atoms.



<i>
An optimized crystal structure of NaMnBr. Source: Alexandria, functional PBE.

SG	R3m
total moment	0.0	μB per cell

```
NaMnBr
1.0
1.9242 1.1109 11.6882
-1.9242 1.1109 11.6882
0.0000 -2.2219 11.6882
Na Mn Br
2 2 2
direct
0.0000 0.0000 0.0000
0.4428 0.4428 0.4428
0.5438 0.5438 0.5438
0.8471 0.8471 0.8471
0.6136 0.6136 0.6136
0.7222 0.7222 0.7222
```



<ii>
An optimized crystal structure of NaMnBr. Source: Alexandria, functional PBE.

SG	P-1
total moment	0.0	μB per cell

```
NaMnBr
1.0
3.4544 0.0000 0.0000
0.0037 4.2505 0.0000
0.0229 1.1637 9.1967
Na Mn Br
2 2 2
direct
0.2490 0.3241 0.2478
0.7510 0.6759 0.7522
0.2495 0.1097 0.9536
0.7505 0.8903 0.0464
0.2514 0.2021 0.6777
0.7486 0.7979 0.3223
```



Pick <i>: it beats the second-best structure by 25.2 kJ/mol of atoms.



<i>
An optimized crystal structure of NaMnBr2. Source: Alexandria, functional PBE.

SG	R-3m
total moment	13.7	μB per cell

```
NaMnBr2
1.0
3.8761 0.0000 0.0000
-1.9380 3.3568 0.0000
0.0000 0.0000 28.3566
Na Mn Br
3 3 6
direct
0.0000 0.0000 0.0000
0.3333 0.6667 0.6667
0.6667 0.3333 0.3333
0.0000 0.0000 0.5000
0.3333 0.6667 0.1667
0.6667 0.3333 0.8333
0.0000 0.0000 0.1124
0.0000 0.0000 0.8876
0.3333 0.6667 0.5543
0.3333 0.6667 0.7791
0.6667 0.3333 0.2209
0.6667 0.3333 0.4457
```



<ii>
An optimized crystal structure of NaMnBr2. Source: Alexandria, functional PBE.

SG	Fm-3m
total moment	18.6	μB per cell

```
NaMnBr2
1.0
7.2387 0.0000 0.0000
0.0000 7.2387 0.0000
0.0000 0.0000 7.2387
Na Mn Br
4 4 8
direct
0.0000 0.0000 0.0000
0.0000 0.5000 0.5000
0.5000 0.0000 0.5000
0.5000 0.5000 0.0000
0.0000 0.0000 0.5000
0.0000 0.5000 0.0000
0.5000 0.0000 0.0000
0.5000 0.5000 0.5000
0.2500 0.2500 0.2500
0.2500 0.2500 0.7500
0.2500 0.7500 0.2500
0.2500 0.7500 0.7500
0.7500 0.2500 0.2500
0.7500 0.2500 0.7500
0.7500 0.7500 0.2500
0.7500 0.7500 0.7500
```



Pick <i>: it beats the second-best structure by 15.3 kJ/mol of atoms.



<i>
An optimized crystal structure of NaMn2Br6. Source: Alexandria, functional PBE.

SG	C2/m
total moment	9.0	μB per cell

```
NaMn2Br6
1.0
6.2496 -2.7509 0.0000
6.2496 2.7509 0.0000
-4.4679 0.0000 8.1664
Na Mn Br
1 2 6
direct
0.0000 0.0000 0.0000
0.1788 0.1788 0.5874
0.8212 0.8212 0.4126
0.0199 0.0199 0.6916
0.3069 0.3069 0.4335
0.3451 0.3451 0.8699
0.6549 0.6549 0.1301
0.6931 0.6931 0.5665
0.9801 0.9801 0.3084
```



<ii>
An optimized crystal structure of NaMn2Br6. Source: Alexandria, functional PBE.

SG	P-31m
total moment	9.0	μB per cell

```
NaMn2Br6
1.0
6.7545 0.0000 0.0000
-3.3772 5.8495 0.0000
0.0000 0.0000 6.6393
Na Mn Br
1 2 6
direct
0.0000 0.0000 0.0000
0.3333 0.6667 0.5000
0.6667 0.3333 0.5000
0.0000 0.3674 0.7256
0.0000 0.6327 0.2744
0.3674 0.0000 0.7256
0.3674 0.3674 0.2744
0.6327 0.0000 0.2744
0.6327 0.6327 0.7256
```



Pick <ii>: it beats the second-best structure by 2.8 kJ/mol of atoms.



<i>
An optimized crystal structure of NaMn2Br. Source: Alexandria, functional PBE.

SG	I-42d
total moment	36.9	μB per cell

```
NaMn2Br
1.0
8.5174 0.0000 0.0000
0.0000 8.5174 0.0000
0.0000 0.0000 5.6015
Na Mn Br
4 8 4
direct
0.0000 0.0000 0.0000
0.0000 0.5000 0.2500
0.5000 0.0000 0.7500
0.5000 0.5000 0.5000
0.2073 0.2500 0.6250
0.2500 0.7073 0.8750
0.2500 0.7927 0.3750
0.2927 0.2500 0.1250
0.7073 0.7500 0.1250
0.7500 0.2073 0.3750
0.7500 0.2927 0.8750
0.7927 0.7500 0.6250
0.0000 0.0000 0.5000
0.0000 0.5000 0.7500
0.5000 0.0000 0.2500
0.5000 0.5000 0.0000
```



<ii>
An optimized crystal structure of NaMn2Br. Source: Alexandria, functional PBE.

SG	Fm-3m
total moment	0.0	μB per cell

```
NaMn2Br
1.0
6.1307 0.0000 0.0000
0.0000 6.1307 0.0000
0.0000 0.0000 6.1307
Na Mn Br
4 8 4
direct
0.0000 0.0000 0.0000
0.0000 0.5000 0.5000
0.5000 0.0000 0.5000
0.5000 0.5000 0.0000
0.2500 0.2500 0.2500
0.2500 0.2500 0.7500
0.2500 0.7500 0.2500
0.2500 0.7500 0.7500
0.7500 0.2500 0.2500
0.7500 0.2500 0.7500
0.7500 0.7500 0.2500
0.7500 0.7500 0.7500
0.0000 0.0000 0.5000
0.0000 0.5000 0.0000
0.5000 0.0000 0.0000
0.5000 0.5000 0.5000
```



Pick <i>: it beats the second-best structure by 94.5 kJ/mol of atoms.



<i>
An optimized crystal structure of NaMnSe2Br. Source: Alexandria, functional PBE.

SG	P4/mmm
total moment	0.0	μB per cell

```
NaMnSe2Br
1.0
4.5939 0.0000 0.0000
0.0000 4.5939 0.0000
0.0000 0.0000 5.7042
Na Mn Se Br
1 1 2 1
direct
0.0000 0.0000 0.0000
0.5000 0.5000 0.5000
0.0000 0.5000 0.5000
0.5000 0.0000 0.5000
0.5000 0.5000 0.0000
```



<ii>
An optimized crystal structure of NaMnSe2Br. Source: Alexandria, functional PBE.

SG	P4/mmm
total moment	4.8	μB per cell

```
NaMnSe2Br
1.0
5.0958 0.0000 0.0000
0.0000 5.0958 0.0000
0.0000 0.0000 5.3326
Na Mn Se Br
1 1 2 1
direct
0.0000 0.0000 0.0000
0.5000 0.5000 0.5000
0.0000 0.5000 0.0000
0.5000 0.0000 0.0000
0.0000 0.0000 0.5000
```



Pick <i>: it beats the second-best structure by 75.0 kJ/mol of atoms.



<i>
An optimized crystal structure of MnNbBr2. Source: Alexandria, functional PBE.

SG	I-42d
total moment	3.4	μB per cell

```
MnNbBr2
1.0
5.8109 0.0000 0.0000
0.0000 5.8109 0.0000
0.0000 0.0000 10.3842
Mn Nb Br
4 4 8
direct
0.0000 0.0000 0.0000
0.0000 0.5000 0.2500
0.5000 0.0000 0.7500
0.5000 0.5000 0.5000
0.0000 0.0000 0.5000
0.0000 0.5000 0.7500
0.5000 0.0000 0.2500
0.5000 0.5000 0.0000
0.2126 0.2500 0.1250
0.2500 0.7126 0.3750
0.2500 0.7874 0.8750
0.2874 0.2500 0.6250
0.7126 0.7500 0.6250
0.7500 0.2126 0.8750
0.7500 0.2874 0.3750
0.7874 0.7500 0.1250
```



<ii>
An optimized crystal structure of MnNbBr2. Source: Alexandria, functional PBE.

SG	R-3m
total moment	13.6	μB per cell

```
MnNbBr2
1.0
3.2848 0.0000 0.0000
-1.6424 2.8447 0.0000
0.0000 0.0000 29.4366
Mn Nb Br
3 3 6
direct
0.0000 0.0000 0.0000
0.3333 0.6667 0.6667
0.6667 0.3333 0.3333
0.0000 0.0000 0.5000
0.3333 0.6667 0.1667
0.6667 0.3333 0.8333
0.0000 0.0000 0.1016
0.0000 0.0000 0.8984
0.3333 0.6667 0.5650
0.3333 0.6667 0.7683
0.6667 0.3333 0.2317
0.6667 0.3333 0.4350
```



Pick <ii>: it beats the second-best structure by 72.4 kJ/mol of atoms.



<i>
An optimized crystal structure of MnNbSe2Br. Source: Alexandria, functional PBE.

SG	P4/mmm
total moment	5.9	μB per cell

```
MnNbSe2Br
1.0
5.0777 0.0000 0.0000
0.0000 5.0777 0.0000
0.0000 0.0000 5.2016
Mn Nb Se Br
1 1 2 1
direct
0.0000 0.0000 0.0000
0.5000 0.5000 0.5000
0.0000 0.5000 0.5000
0.5000 0.0000 0.5000
0.5000 0.5000 0.0000
```



<ii>
An optimized crystal structure of MnNbSe2Br. Source: Alexandria, functional PBE.

SG	P4/mmm
total moment	4.1	μB per cell

```
MnNbSe2Br
1.0
4.8577 0.0000 0.0000
0.0000 4.8577 0.0000
0.0000 0.0000 4.7837
Mn Nb Se Br
1 1 2 1
direct
0.0000 0.0000 0.0000
0.5000 0.5000 0.5000
0.0000 0.5000 0.0000
0.5000 0.0000 0.0000
0.0000 0.0000 0.5000
```



Pick <i>: it beats the second-best structure by 42.5 kJ/mol of atoms.



<i>
An optimized crystal structure of Mn2NiBr. Source: Alexandria, functional PBE.

SG	Fm-3m
total moment	0.0	μB per cell

```
Mn2NiBr
1.0
5.8171 0.0000 0.0000
0.0000 5.8171 0.0000
0.0000 0.0000 5.8171
Mn Ni Br
8 4 4
direct
0.2500 0.2500 0.2500
0.2500 0.2500 0.7500
0.2500 0.7500 0.2500
0.2500 0.7500 0.7500
0.7500 0.2500 0.2500
0.7500 0.2500 0.7500
0.7500 0.7500 0.2500
0.7500 0.7500 0.7500
0.0000 0.0000 0.0000
0.0000 0.5000 0.5000
0.5000 0.0000 0.5000
0.5000 0.5000 0.0000
0.0000 0.0000 0.5000
0.0000 0.5000 0.0000
0.5000 0.0000 0.0000
0.5000 0.5000 0.5000
```



<ii>
An optimized crystal structure of Mn2NiBr. Source: Alexandria, functional PBE.

SG	P4mm
total moment	8.8	μB per cell

```
Mn2NiBr
1.0
3.3446 0.0000 0.0000
0.0000 3.3446 0.0000
0.0000 0.0000 6.4053
Mn Ni Br
2 1 1
direct
0.0000 0.0000 0.0000
0.5000 0.5000 0.2535
0.0000 0.0000 0.3714
0.5000 0.5000 0.7715
```



<iii>
An optimized crystal structure of Mn2NiBr. Source: Alexandria, functional PBE.

SG	Pmmm
total moment	8.8	μB per cell

```
Mn2NiBr
1.0
3.0868 0.0000 0.0000
0.0000 3.1847 0.0000
0.0000 0.0000 7.1017
Mn Ni Br
2 1 1
direct
0.0000 0.0000 0.1932
0.0000 0.0000 0.8068
0.5000 0.5000 0.0000
0.5000 0.0000 0.5000
```



<iv>
An optimized crystal structure of Mn2NiBr. Source: Alexandria, functional PBE.

SG	I-4m2
total moment	17.7	μB per cell

```
Mn2NiBr
1.0
3.7148 0.0000 0.0000
0.0000 3.7148 0.0000
0.0000 0.0000 9.2350
Mn Ni Br
4 2 2
direct
0.0000 0.0000 0.0000
0.0000 0.5000 0.2500
0.5000 0.0000 0.7500
0.5000 0.5000 0.5000
0.0000 0.5000 0.7500
0.5000 0.0000 0.2500
0.0000 0.0000 0.5000
0.5000 0.5000 0.0000
```



Pick <iii>: it beats the second-best structure by 15.4 kJ/mol of atoms.



<i>
An optimized crystal structure of Mn2NiBr. Source: Alexandria, functional PBE.

SG	Pm
total moment	8.9	μB per cell

```
Mn2NiBr
1.0
3.3786 0.0000 0.0000
0.0000 3.3180 0.0000
-0.0017 0.0000 6.5841
Mn Ni Br
2 1 1
direct
0.0000 0.0000 0.0000
0.5002 0.5000 0.2482
0.0004 0.0000 0.3698
0.0065 0.5000 0.6882
```



<ii>
An optimized crystal structure of Mn2NiBr. Source: Alexandria, functional PBE.

SG	Immm
total moment	16.9	μB per cell

```
Mn2NiBr
1.0
3.4876 0.0000 0.0000
0.0000 4.6453 0.0000
0.0000 0.0000 7.8127
Mn Ni Br
4 2 2
direct
0.0000 0.0000 0.2381
0.0000 0.0000 0.7619
0.5000 0.5000 0.2619
0.5000 0.5000 0.7381
0.0000 0.5000 0.5000
0.5000 0.0000 0.0000
0.0000 0.5000 0.0000
0.5000 0.0000 0.5000
```



Pick <i>: it beats the second-best structure by 22.2 kJ/mol of atoms.